Computed, not measured: a geometry-optimized CaLa2CeN4 structure at the PBE level of DFT.

Properties
Uncorrected energy   -61.2 eV/f.u.
Magnetization   0.00 μB per atom
Energy relative to the elements, uncorrected   -1268.8 meV/atom

abc: 6.258 3.697 6.298
angles: 90.00 108.56 90.00
Space group P2/m (No. 10)
Unique sites:
Ca  0.000  0.000  0.000 [1 per cell]
La  0.000  0.500  0.500 [1 per cell]
La  0.500  0.000  0.500 [1 per cell]
Ce  0.500  0.500  0.000 [1 per cell]
N  0.257  0.000  0.756 [2 per cell]
N  0.273  0.500  0.240 [2 per cell]



Computed, not measured: a geometry-optimized CaLaCeN3 structure at the PBE level of DFT.

Properties
Uncorrected energy   -45.2 eV/f.u.
Magnetization   0.00 μB per atom
Energy relative to the elements, uncorrected   -1221.2 meV/atom

abc: 6.146 3.605 9.155
angles: 90.00 102.14 90.00
Space group P2_1/m (No. 11)
Unique sites:
Ca  0.134  0.250  0.138 [2 per cell]
La  0.361  0.250  0.822 [2 per cell]
Ce  0.235  0.750  0.456 [2 per cell]
N  0.039  0.750  0.640 [2 per cell]
N  0.269  0.750  0.005 [2 per cell]
N  0.454  0.250  0.354 [2 per cell]